MgScCu2, optimized geometry, DFT PBE; space group = No. 71; ΔE_f = 0.49 eV/atom
1.0
-1.394 2.513 5.192
1.394 -2.513 5.192
1.394 2.513 -5.192
Mg Sc Cu
1 1 2
direct
0.000 0.000 0.000
0.500 0.500 0.000
0.244 0.244 0.000
0.756 0.756 0.000